VASP calculation (PBE-GGA) on a relaxed Pm3Dy2Tm3 crystal.

a b c (Å): 5.021 5.046 20.177
angles (deg): 90.00 90.00 90.00
Space group Immm (No. 71)
Symmetry-distinct sites (fractional):
Pm1 0.000 0.000 0.000 x2
Pm2 0.000 0.500 0.124 x4
Dy1 0.000 0.000 0.249 x4
Tm1 0.000 0.000 0.500 x2
Tm2 0.000 0.500 0.374 x4

**Formation enthalpy at 0 K**: 0.022 eV/atom
**Energy above the most stable polymorph in this dataset**: 0.000 eV per atom
**Calculated total energy**: -4.59 eV per atom